Density functional theory data (PBE) for a relaxed structure of LaAs2Ru.

abc: 3.470 3.470 6.751
angles: 90.00 90.00 90.00
Space group P4mm (No. 99)
Symmetry-distinct sites (fractional):
La 0.000 0.000 0.000 (multiplicity 1)
As 0.000 0.000 0.477 (multiplicity 1)
As 0.500 0.500 0.721 (multiplicity 1)
Ru 0.500 0.500 0.342 (multiplicity 1)

- Energy of formation from the pure elements: -28.9 kJ/mol of atoms
- Energy: -6.1746 eV/atom
- Theoretical density: 8.0 g/cm3

Density functional theory data (PBE) for a relaxed structure of MnBe2Br.

abc: 6.121 3.535 5.364
angles: 90.00 90.15 90.00
Space group Cm (No. 8)
Symmetry-distinct sites (fractional):
Mn 0.000 0.000 0.000 (multiplicity 2)
Be 0.167 0.500 0.179 (multiplicity 2)
Be 0.334 0.000 0.246 (multiplicity 2)
Br 0.333 0.000 0.681 (multiplicity 2)

- ΔE_f (raw): 0.187 eV/atom
- Energy: -4.3869 eV/atom
- Theoretical density: 4.4 g/cm3

Density functional theory data (PBE) for a relaxed structure of BeTe2Ir.

abc: 3.630 5.968 7.585
angles: 90.00 90.00 90.00
Space group Cmmm (No. 65)
Symmetry-distinct sites (fractional):
Be 0.000 0.000 0.000 (multiplicity 2)
Te 0.000 0.500 0.239 (multiplicity 4)
Ir 0.000 0.000 0.500 (multiplicity 2)

- ΔE_f (raw): 0.684 eV/atom
- Energy: -4.0332 eV/atom
- Theoretical density: 9.2 g/cm3

Density functional theory data (PBE) for a relaxed structure of LiLuAsAu.

abc: 6.794 6.794 6.794
angles: 90.00 90.00 90.00
Space group F-43m (No. 216)
Symmetry-distinct sites (fractional):
Li 0.000 0.000 0.000 (multiplicity 4)
Lu 0.000 0.000 0.500 (multiplicity 4)
As 0.250 0.250 0.250 (multiplicity 4)
Au 0.250 0.250 0.750 (multiplicity 4)

- Energy of formation from the pure elements: -79.8 kJ/mol of atoms
- Energy: -4.4179 eV/atom
- Theoretical density: 9.6 g/cm3

> What is the formula in the fourth record?

LiLuAsAu